{
  "formula": "InH15PdC10O10",
  "functional": "PBE",
  "state": "optimized geometry",
  "space_group": "P-1 (2)",
  "lattice_angstrom": [[6.9739, 0.0000, 0.0000], [2.2764, 8.0811, 0.0000], [1.0547, 0.9962, 12.4952]],
  "species": ["C", "C", "C", "C", "C", "C", "C", "C", "C", "C", "C", "C", "C", "C", "C", "C", "C", "C", "C", "C", "H", "H", "H", "H", "H", "H", "H", "H", "H", "H", "H", "H", "H", "H", "H", "H", "H", "H", "H", "H", "H", "H", "H", "H", "H", "H", "H", "H", "H", "H", "In", "In", "O", "O", "O", "O", "O", "O", "O", "O", "O", "O", "O", "O", "O", "O", "O", "O", "O", "O", "O", "O", "Pd", "Pd"],
  "fractional_positions": [[0.7726, 0.4499, 0.0453], [0.8019, 0.9275, 0.0860], [0.6144, 0.0361, 0.1335], [0.9052, 0.4057, 0.1371], [0.3541, 0.7516, 0.1782], [0.2835, 0.6051, 0.2235], [0.9720, 0.1053, 0.3727], [0.8629, 0.9768, 0.4065], [0.5167, 0.7022, 0.4308], [0.3665, 0.3105, 0.4726], [0.6335, 0.6895, 0.5274], [0.4833, 0.2978, 0.5692], [0.1371, 0.0232, 0.5935], [0.0280, 0.8947, 0.6273], [0.7165, 0.3949, 0.7765], [0.6459, 0.2484, 0.8218], [0.0948, 0.5943, 0.8629], [0.3856, 0.9639, 0.8665], [0.1981, 0.0725, 0.9140], [0.2274, 0.5501, 0.9547], [0.7795, 0.8974, 0.0060], [0.1531, 0.6167, 0.0234], [0.7332, 0.5840, 0.0240], [0.6330, 0.4161, 0.0694], [0.9170, 0.9958, 0.0787], [0.3535, 0.7630, 0.0905], [0.8536, 0.8136, 0.1379], [0.5104, 0.7292, 0.1972], [0.2635, 0.8643, 0.2124], [0.7677, 0.9746, 0.3416], [0.5865, 0.6019, 0.3793], [0.5127, 0.8211, 0.3846], [0.9684, 0.8544, 0.4166], [0.3625, 0.7016, 0.4560], [0.7644, 0.0083, 0.4779], [0.2356, 0.9917, 0.5221], [0.6375, 0.2984, 0.5440], [0.0316, 0.1456, 0.5834], [0.4873, 0.1789, 0.6154], [0.4135, 0.3981, 0.6207], [0.2323, 0.0254, 0.6584], [0.7365, 0.1357, 0.7876], [0.4896, 0.2708, 0.8028], [0.1464, 0.1864, 0.8621], [0.6465, 0.2370, 0.9095], [0.0830, 0.0042, 0.9213], [0.3670, 0.5839, 0.9306], [0.2668, 0.4160, 0.9760], [0.8469, 0.3833, 0.9766], [0.2205, 0.1026, 0.9940], [0.3092, 0.2269, 0.2407], [0.6908, 0.7731, 0.7593], [0.5057, 0.1601, 0.0807], [0.0616, 0.2856, 0.1299], [0.3760, 0.4639, 0.1912], [0.8500, 0.4944, 0.2176], [0.5630, 0.0061, 0.2327], [0.1337, 0.6322, 0.2923], [0.1393, 0.0593, 0.3201], [0.4494, 0.2323, 0.3927], [0.8890, 0.2542, 0.3978], [0.1846, 0.4006, 0.4783], [0.8154, 0.5994, 0.5217], [0.1110, 0.7458, 0.6022], [0.5506, 0.7677, 0.6073], [0.8607, 0.9407, 0.6799], [0.8663, 0.3678, 0.7077], [0.4370, 0.9939, 0.7673], [0.1500, 0.5056, 0.7824], [0.6240, 0.5361, 0.8088], [0.9384, 0.7144, 0.8701], [0.4943, 0.8399, 0.9193], [0.0168, 0.4414, 0.3480], [0.9832, 0.5586, 0.6520]]
}



{
  "formula": "H15IrC12NO4",
  "functional": "PBE",
  "state": "optimized geometry",
  "space_group": "P-1 (2)",
  "lattice_angstrom": [[8.1274, 0.0000, 0.0000], [0.0762, 8.6649, 0.0000], [2.9330, 1.4514, 8.8448]],
  "species": ["C", "C", "C", "C", "C", "C", "C", "C", "C", "C", "C", "C", "C", "C", "C", "C", "C", "C", "C", "C", "C", "C", "C", "C", "H", "H", "H", "H", "H", "H", "H", "H", "H", "H", "H", "H", "H", "H", "H", "H", "H", "H", "H", "H", "H", "H", "H", "H", "H", "H", "H", "H", "H", "H", "Ir", "Ir", "N", "N", "O", "O", "O", "O", "O", "O", "O", "O"],
  "fractional_positions": [[0.0784, 0.2444, 0.0238], [0.2764, 0.6386, 0.0633], [0.2099, 0.1800, 0.1020], [0.2059, 0.0009, 0.1222], [0.6541, 0.4204, 0.2121], [0.1676, 0.2298, 0.2555], [0.5579, 0.8989, 0.3222], [0.0041, 0.2045, 0.3632], [0.2675, 0.3528, 0.4191], [0.8925, 0.6691, 0.4710], [0.4523, 0.9404, 0.4739], [0.0280, 0.7441, 0.4989], [0.9720, 0.2559, 0.5011], [0.5477, 0.0596, 0.5261], [0.1075, 0.3309, 0.5290], [0.7325, 0.6472, 0.5809], [0.9959, 0.7955, 0.6368], [0.4421, 0.1011, 0.6778], [0.8324, 0.7702, 0.7445], [0.3459, 0.5796, 0.7879], [0.7941, 0.9991, 0.8778], [0.7901, 0.8200, 0.8980], [0.7236, 0.3614, 0.9367], [0.9216, 0.7556, 0.9762], [0.2421, 0.9650, 0.0102], [0.0719, 0.3716, 0.0172], [0.9481, 0.1916, 0.0837], [0.8821, 0.7829, 0.0916], [0.5323, 0.7666, 0.1787], [0.2984, 0.9530, 0.1792], [0.0760, 0.9506, 0.1883], [0.5777, 0.0048, 0.2347], [0.6874, 0.8625, 0.3272], [0.9020, 0.1465, 0.3363], [0.9105, 0.6249, 0.3662], [0.1573, 0.7594, 0.4157], [0.3744, 0.4136, 0.4365], [0.5806, 0.1668, 0.4413], [0.3289, 0.9873, 0.4648], [0.6711, 0.0127, 0.5352], [0.4194, 0.8332, 0.5587], [0.6256, 0.5864, 0.5635], [0.8427, 0.2406, 0.5843], [0.0895, 0.3751, 0.6338], [0.0980, 0.8535, 0.6637], [0.3126, 0.1375, 0.6728], [0.4223, 0.9952, 0.7653], [0.9240, 0.0494, 0.8117], [0.7016, 0.0470, 0.8208], [0.4677, 0.2334, 0.8213], [0.1179, 0.2171, 0.9084], [0.0519, 0.8084, 0.9163], [0.9281, 0.6284, 0.9828], [0.7579, 0.0350, 0.9898], [0.5293, 0.3367, 0.1070], [0.4707, 0.6633, 0.8930], [0.2979, 0.3028, 0.2844], [0.7021, 0.6972, 0.7156], [0.3780, 0.2396, 0.0095], [0.1551, 0.6201, 0.1708], [0.7287, 0.4703, 0.2843], [0.4702, 0.7761, 0.2863], [0.5298, 0.2239, 0.7137], [0.2713, 0.5297, 0.7157], [0.8449, 0.3799, 0.8292], [0.6220, 0.7604, 0.9905]]
}



{
  "formula": "KNaH6PtC4N4O3",
  "functional": "PBE",
  "state": "optimized geometry",
  "space_group": "Cc (9)",
  "lattice_angstrom": [[2.6206, 0.0000, -5.6695], [-6.3384, -6.7900, -0.0919], [-6.3384, 6.7900, -0.0919]],
  "species": ["C", "C", "C", "C", "C", "C", "C", "C", "H", "H", "H", "H", "H", "H", "H", "H", "H", "H", "H", "H", "K", "K", "N", "N", "N", "N", "N", "N", "N", "N", "Na", "Na", "O", "O", "O", "O", "O", "O", "Pt", "Pt"],
  "fractional_positions": [[0.4602, 0.8076, 0.0939], [0.1502, 0.2079, 0.1156], [0.0324, 0.9171, 0.1875], [0.6502, 0.1156, 0.2079], [0.3580, 0.8759, 0.7947], [0.9602, 0.0939, 0.8076], [0.8580, 0.7947, 0.8759], [0.5324, 0.1875, 0.9171], [0.6562, 0.4275, 0.1395], [0.7025, 0.6022, 0.1509], [0.0376, 0.5673, 0.3486], [0.8834, 0.8123, 0.4261], [0.1562, 0.1395, 0.4275], [0.1954, 0.6561, 0.5129], [0.5376, 0.3486, 0.5673], [0.8808, 0.7773, 0.5877], [0.2025, 0.1509, 0.6022], [0.6954, 0.5129, 0.6561], [0.3808, 0.5877, 0.7773], [0.3834, 0.4261, 0.8123], [0.5170, 0.9655, 0.4841], [0.0170, 0.4841, 0.9655], [0.4402, 0.6988, 0.1529], [0.2451, 0.3304, 0.1851], [0.0486, 0.8724, 0.3040], [0.7451, 0.1851, 0.3304], [0.2792, 0.8049, 0.6720], [0.9402, 0.1529, 0.6988], [0.7792, 0.6720, 0.8049], [0.5486, 0.3040, 0.8724], [0.4921, 0.5477, 0.3637], [0.9921, 0.3637, 0.5477], [0.7772, 0.5249, 0.1841], [0.1700, 0.5681, 0.4366], [0.7769, 0.7791, 0.4881], [0.2772, 0.1841, 0.5249], [0.6700, 0.4366, 0.5681], [0.2769, 0.4881, 0.7791], [0.4985, 0.9956, 0.0015], [0.9985, 0.0015, 0.9956]]
}



| no. | DFT total energy (eV/atom) |
| --- | --- |
| 1 | -6.053 |
| 2 | -6.283 |
| 3 | -6.232 |